(1)
CaGd3S | PBE | optimized geometry

Properties
The calculation puts the density of states at the Fermi level at 1.93 states/eV/atom. The uncorrected energy comes out at -10.345 eV per atom. Its uncorrected formation energy is -671 meV per atom. Its space-group type is Pm-3m.

abc: 5.4233 5.4233 5.4233
angles: 90.00 90.00 90.00
With the nearest neighbours (Å) after each atom.
Sites, in units of the cell vectors:
Ca 0.0000 0.0000 0.0000  12 Gd 3.83
Gd 0.0000 0.5000 0.5000  2 S 2.71
Gd 0.5000 0.0000 0.5000  2 S 2.71
Gd 0.5000 0.5000 0.0000  2 S 2.71
S 0.5000 0.5000 0.5000  6 Gd 2.71

***

(2)
CsSn2Se2 | PBE | optimized geometry

Properties
The calculation puts the density of states at the Fermi level at 0.91 states/eV/atom. The uncorrected energy comes out at -3.543 eV per atom. Its uncorrected formation energy is -377 meV per atom. The energy above the most stable polymorph in this dataset is 0.889 eV/f.u. Its space-group type is P4/mbm.

abc: 9.5058 9.5058 3.8896
angles: 90.00 90.00 90.00
With the nearest neighbours (Å) after each atom.
Sites, in units of the cell vectors:
Cs 0.0000 0.0000 0.0000  4 Sn 3.76, 2 Cs 3.89, 8 Se 3.89
Cs 0.5000 0.5000 0.0000  4 Sn 3.76, 2 Cs 3.89, 8 Se 3.89
Sn 0.1238 0.3762 0.0000  2 Se 2.74
Sn 0.3762 0.8762 0.0000  2 Se 2.74
Sn 0.6238 0.1238 0.0000  2 Se 2.74
Sn 0.8762 0.6238 0.0000  2 Se 2.74
Se 0.2330 0.7330 0.5000  2 Sn 2.74
Se 0.2670 0.2330 0.5000  2 Sn 2.74
Se 0.7330 0.7670 0.5000  2 Sn 2.74
Se 0.7670 0.2670 0.5000  2 Sn 2.74

***

(3)
SrNdAgPt | PBE | optimized geometry

Properties
The calculation puts the density of states at the Fermi level at 0.80 states/eV/atom. The uncorrected energy comes out at -4.455 eV per atom. Its energy of formation is -2.5 eV/f.u. The energy above the most stable polymorph in this dataset is 0.000 eV/f.u. Its space-group type is Amm2.

abc: 4.4953 6.2466 6.2466
angles: 38.40 90.00 90.00
With the nearest neighbours (Å) after each atom.
Sites, in units of the cell vectors:
Sr 0.0000 0.0000 0.0000  3 Pt 3.16-3.42, 4 Ag 3.16
Nd 0.5000 0.7216 0.7216  4 Pt 3.09, 3 Ag 3.19-3.46
Ag 0.5000 0.4279 0.4279  2 Pt 2.94, 4 Sr 3.16, 2 Nd 3.19
Pt 0.0000 0.2678 0.2678  2 Ag 2.94, 4 Nd 3.09, 1 Sr 3.16

***

(4)
NaZn5Pt2 | PBE | optimized geometry

Properties
The calculation puts the density of states at the Fermi level at 0.24 states/eV/atom. The uncorrected energy comes out at -2.752 eV per atom. Its energy of formation is -2.2 eV/f.u. Its space-group type is Immm.

abc: 6.5334 6.5334 6.5334
angles: 145.54 108.95 81.41
With the nearest neighbours (Å) after each atom.
Sites, in units of the cell vectors:
Na 0.0000 0.0000 0.0000  4 Pt 3.13, 8 Zn 3.37
Zn 0.1602 0.3520 0.8082  3 Pt 2.54-2.63, 2 Zn 2.83
Zn 0.4563 0.6480 0.8082  3 Pt 2.54-2.63, 2 Zn 2.83
Zn 0.5000 0.0000 0.5000  2 Pt 2.49
Zn 0.5437 0.3520 0.1918  3 Pt 2.54-2.63, 2 Zn 2.83
Zn 0.8398 0.6480 0.1918  3 Pt 2.54-2.63, 2 Zn 2.83
Pt 0.2487 0.7487 0.5000  7 Zn 2.49-2.63
Pt 0.7513 0.2513 0.5000  7 Zn 2.49-2.63